Fe3CuI12: optimized geometry, PBE.

Values from the calculation:
density of states at the Fermi level = 60.0 states/eV per cell
volume = 49.859 Å³ per atom
formation energy (no corrections) = -98 meV per atom

a = 11.7672 Å, b = 11.7672 Å, c = 39.9152 Å
α = 90.00°, β = 90.00°, γ = 120.00°
Space group R3c (No. 161, hexagonal axes)
Unique sites:
Fe 0.0422 0.3631 0.0000 (multiplicity 18)
Cu 0.0000 0.0000 0.3832 (multiplicity 6)
I 0.1787 0.4296 0.9482 (multiplicity 18)
I 0.1867 0.4219 0.0537 (multiplicity 18)
I 0.1952 0.4273 0.8350 (multiplicity 18)
I 0.2143 0.4388 0.6696 (multiplicity 18)